Below is a relaxed AlAsPd crystal, with properties calculated at the GGA-PBE level.

Calculated values
* calculated total energy: -14.60 eV per formula unit
* DFT formation energy: -0.339 eV per atom
* crystal system: monoclinic

```
AlAsPd
1.0
4.643 0.000 0.000
-2.321 2.278 -0.107
0.000 -2.784 10.416
As Pd Al
2 2 2
Direct
0.040 0.079 0.151 As
0.960 0.921 0.849 As
0.188 0.375 0.414 Pd
0.812 0.625 0.586 Pd
0.385 0.770 0.692 Al
0.615 0.230 0.308 Al
```